No. 1
Entry from the Alexandria database: a relaxed structure of Zn2Sb2I (PBE).

Geometry as POSCAR:
```
Zn2Sb2I
1.0
-1.334 -8.169 2.077
5.712 0.670 6.304
-2.537 0.972 2.195
I Sb Zn
2 4 4
Direct
0.500 0.500 0.000 I
0.000 0.000 0.000 I
0.352 0.852 0.000 Sb
0.648 0.148 0.000 Sb
0.148 0.352 0.000 Sb
0.852 0.648 0.000 Sb
0.148 0.648 0.500 Zn
0.852 0.352 0.500 Zn
0.648 0.852 0.500 Zn
0.352 0.148 0.500 Zn
```

- excess energy over the best structure of this formula in the dataset (kcal/mol of atoms) = 3.34
- energy relative to the elements, uncorrected (kJ per mole of atoms) = 21
- SG = P4/mbm (127)

No. 2
Entry from the Alexandria database: a relaxed structure of AlFe2Tc2 (PBE).

Geometry as POSCAR:
```
AlFe2Tc2
1.0
7.018 0.000 0.000
0.000 7.018 0.000
0.000 0.000 2.706
Al Fe Tc
2 4 4
Direct
0.500 0.500 0.000 Al
0.000 0.000 0.000 Al
0.879 0.621 0.000 Fe
0.621 0.121 0.000 Fe
0.121 0.379 0.000 Fe
0.379 0.879 0.000 Fe
0.173 0.673 0.500 Tc
0.673 0.827 0.500 Tc
0.327 0.173 0.500 Tc
0.827 0.327 0.500 Tc
```

- E_form (eV/atom) = 0.09
- SG = P4/mbm (127)

No. 3
Entry from the Alexandria database: a relaxed structure of HfTi3Zn (PBE).

Geometry as POSCAR:
```
HfTi3Zn
1.0
4.699 0.000 0.000
0.000 4.699 0.000
0.000 0.000 4.699
Ti Hf Zn
3 1 1
Direct
0.500 0.000 0.000 Ti
0.000 0.500 0.000 Ti
0.000 0.000 0.500 Ti
0.500 0.500 0.500 Hf
0.000 0.000 0.000 Zn
```

- E_form (eV/atom) = 0.72
- excess energy over the best structure of this formula in the dataset (kcal/mol of atoms) = 16.18
- SG = Pm-3m (221)

No. 4
Entry from the Alexandria database: a relaxed structure of VTe (PBE).

Geometry as POSCAR:
```
VTe
1.0
3.312 0.000 -0.001
1.656 4.189 -0.003
0.051 0.170 7.429
Te V
2 2
Direct
0.836 0.307 0.891 Te
0.127 0.709 0.385 Te
0.436 0.098 0.183 V
0.119 0.737 0.033 V
```

- energy relative to the elements, uncorrected (kJ per mole of atoms) = -8
- SG = P1 (1)

No. 5
Entry from the Alexandria database: a relaxed structure of Hf2NbSb (PBE).

Geometry as POSCAR:
```
Hf2NbSb
1.0
3.319 0.000 0.000
1.660 2.875 0.000
1.660 0.958 9.175
Nb Hf Sb
1 2 1
Direct
0.000 0.000 0.000 Nb
0.748 0.748 0.756 Hf
0.252 0.252 0.244 Hf
0.500 0.500 0.500 Sb
```

- energy relative to the elements, uncorrected (kJ per mole of atoms) = 1
- SG = R-3m (166)

No. 6
Entry from the Alexandria database: a relaxed structure of Ce2DyY6Tm3 (PBE).

Geometry as POSCAR:
```
Ce2DyY6Tm3
1.0
6.136 0.000 0.001
-3.066 5.315 0.001
-1.024 -1.774 11.555
Y Tm Ce Dy
6 3 2 1
Direct
0.581 0.916 0.749 Y
0.749 0.749 0.251 Y
0.419 0.084 0.251 Y
0.251 0.251 0.749 Y
0.916 0.581 0.749 Y
0.084 0.419 0.251 Y
0.500 0.500 0.500 Tm
0.166 0.834 0.500 Tm
0.834 0.166 0.500 Tm
0.333 0.667 0.000 Ce
0.667 0.333 0.000 Ce
0.000 0.000 0.000 Dy
```

- E_form (eV/atom) = 0.06
- SG = C2/m (12)

No. 7
Entry from the Alexandria database: a relaxed structure of ZnMoSe2N (PBE).

Geometry as POSCAR:
```
ZnMoSe2N
1.0
-3.166 2.792 2.839
1.844 -2.187 4.207
2.631 2.718 0.260
N Se Zn Mo
1 2 1 1
Direct
0.000 0.000 0.500 N
0.000 0.500 0.000 Se
0.500 0.000 0.000 Se
0.500 0.500 0.500 Zn
0.000 0.000 0.000 Mo
```

- excess energy over the best structure of this formula in the dataset (kcal/mol of atoms) = 0.00
- energy relative to the elements, uncorrected (kJ per mole of atoms) = 20
- SG = P4/mmm (123)

No. 8
Entry from the Alexandria database: a relaxed structure of Hg2GeI6 (PBE).

Geometry as POSCAR:
```
Hg2GeI6
1.0
-0.677 2.123 -3.884
7.247 -2.623 -0.110
-8.609 -8.936 -3.377
I Ge Hg
6 1 2
Direct
0.655 0.309 0.056 I
0.345 0.691 0.944 I
0.987 0.975 0.759 I
0.322 0.639 0.402 I
0.678 0.361 0.598 I
0.013 0.025 0.241 I
0.000 0.000 0.000 Ge
0.161 0.327 0.728 Hg
0.839 0.673 0.272 Hg
```

- excess energy over the best structure of this formula in the dataset (kcal/mol of atoms) = 0.15
- energy relative to the elements, uncorrected (kJ per mole of atoms) = -26
- SG = P-1 (2)

No. 9
Entry from the Alexandria database: a relaxed structure of HgPtF5 (PBE).

Geometry as POSCAR:
```
HgPtF5
1.0
4.967 -1.299 -1.864
-2.787 4.683 0.375
0.337 2.457 12.262
Pt F Hg
2 10 2
Direct
0.000 0.000 0.000 Pt
0.000 0.500 0.500 Pt
0.392 0.712 0.441 F
0.608 0.288 0.559 F
0.146 0.896 0.750 F
0.854 0.104 0.250 F
0.289 0.548 0.654 F
0.106 0.865 0.154 F
0.711 0.452 0.346 F
0.271 0.451 0.059 F
0.894 0.135 0.846 F
0.729 0.549 0.941 F
0.353 0.603 0.250 Hg
0.647 0.397 0.750 Hg
```

- energy relative to the elements, uncorrected (kJ per mole of atoms) = -117
- SG = C2/c (15)

No. 10
Entry from the Alexandria database: a relaxed structure of Fe2Re2Ge (PBE).

Geometry as POSCAR:
```
Fe2Re2Ge
1.0
7.299 0.000 0.000
0.000 7.299 0.000
0.000 0.000 2.660
Ge Fe Re
2 4 4
Direct
0.000 0.000 0.000 Ge
0.500 0.500 0.000 Ge
0.339 0.161 0.500 Fe
0.161 0.661 0.500 Fe
0.661 0.839 0.500 Fe
0.839 0.339 0.500 Fe
0.629 0.129 0.000 Re
0.129 0.371 0.000 Re
0.871 0.629 0.000 Re
0.371 0.871 0.000 Re
```

- E_form (eV/atom) = 0.39
- excess energy over the best structure of this formula in the dataset (kcal/mol of atoms) = 0.00
- SG = P4/mbm (127)

No. 11
Entry from the Alexandria database: a relaxed structure of KZnIr (PBE).

Geometry as POSCAR:
```
KZnIr
1.0
4.894 0.000 0.000
2.447 4.238 0.000
2.447 1.413 3.996
Ir K Zn
1 1 1
Direct
0.500 0.500 0.500 Ir
0.250 0.250 0.250 K
0.000 0.000 0.000 Zn
```

- E_form (eV/atom) = 1.70
- excess energy over the best structure of this formula in the dataset (kcal/mol of atoms) = 34.63
- SG = F-43m (216)

No. 12
Entry from the Alexandria database: a relaxed structure of NaMg6BO7 (PBE).

Geometry as POSCAR:
```
NaMg6BO7
1.0
-2.617 -3.302 0.347
2.953 -2.517 -1.678
3.221 -1.690 8.205
O Mg B Na
7 6 1 1
Direct
0.000 0.000 0.743 O
0.500 0.500 0.799 O
0.500 0.500 0.263 O
0.000 0.500 0.996 O
0.500 0.000 0.520 O
0.500 0.000 0.996 O
0.000 0.500 0.520 O
0.000 0.000 0.517 Mg
0.000 0.500 0.223 Mg
0.500 0.000 0.761 Mg
0.500 0.500 0.485 Mg
0.000 0.500 0.761 Mg
0.500 0.000 0.223 Mg
0.500 0.500 0.954 B
0.000 0.000 0.992 Na
```

- excess energy over the best structure of this formula in the dataset (kcal/mol of atoms) = 3.19
- energy relative to the elements, uncorrected (kJ per mole of atoms) = -184
- SG = P4mm (99)